K3Ni2AgCl9 | PBE | optimized geometry

Computed properties:
Formation energy without anion corrections in eV/atom: -1.075
Final energy in eV/atom: -3.363

abc: 6.9311 6.9311 8.5606
angles: 90.00 90.00 120.00
Site moments in Bohr magnetons follow the coordinates.
Fractional positions:
K  0.3333  0.6667  0.6696  0.00
K  0.6667  0.3333  0.3304  0.00
K  0.0000  0.0000  0.0000  0.00
Cl  0.6498  0.8249  0.3175  0.04
Cl  0.1751  0.3502  0.3175  0.04
Cl  0.1751  0.8249  0.3175  0.04
Cl  0.5000  0.5000  0.0000  0.02
Cl  0.3502  0.1751  0.6825  0.04
Cl  0.8249  0.1751  0.6825  0.04
Cl  0.5000  0.0000  0.0000  0.02
Cl  0.0000  0.5000  0.0000  0.02
Cl  0.8249  0.6498  0.6825  0.04
Ni  0.3333  0.6667  0.1615  0.85
Ni  0.6667  0.3333  0.8385  0.85
Ag  0.0000  0.0000  0.5000  0.02

***

BaY2Hf2 | PBE | optimized geometry

Computed properties:
Formation energy in eV/atom: 0.322
Final energy in eV/atom: -6.630

abc: 9.4904 9.4904 3.4971
angles: 90.00 90.00 90.00
Fractional positions:
Hf  0.8903  0.6097  0.0000
Hf  0.3903  0.8903  0.0000
Hf  0.1097  0.3903  0.0000
Hf  0.6097  0.1097  0.0000
Ba  0.0000  0.0000  0.0000
Ba  0.5000  0.5000  0.0000
Y  0.8249  0.3249  0.5000
Y  0.6751  0.8249  0.5000
Y  0.1751  0.6751  0.5000
Y  0.3249  0.1751  0.5000

***

Ac6Sn3Pb | PBE | optimized geometry

Computed properties:
Formation energy in eV/atom: -0.430
Final energy in eV/atom: -4.467

abc: 8.3651 10.2107 10.2107
angles: 105.40 90.00 90.00
Fractional positions:
Ac  0.7615  0.0051  0.9949
Ac  0.1339  0.7481  0.2519
Ac  0.6339  0.2519  0.7481
Ac  0.2363  0.0960  0.5448
Ac  0.1450  0.7273  0.6400
Ac  0.7363  0.9040  0.4552
Ac  0.2363  0.4552  0.9040
Ac  0.1450  0.3600  0.2727
Ac  0.7363  0.5448  0.0960
Ac  0.2615  0.9949  0.0051
Ac  0.6450  0.6400  0.7273
Ac  0.6450  0.2727  0.3600
Sn  0.9821  0.7164  0.9318
Sn  0.4821  0.9318  0.7164
Sn  0.9821  0.0682  0.2836
Sn  0.8552  0.5767  0.4233
Sn  0.4821  0.2836  0.0682
Sn  0.3552  0.4233  0.5767
Pb  0.0080  0.1700  0.8300
Pb  0.5080  0.8300  0.1700

***

Ce3ScSb4 | PBE | optimized geometry

Computed properties:
Formation energy without anion corrections in eV/atom: -0.990
Energy above the lowest structure with this stoichiometry in eV/f.u.: 0.03
Final energy in eV/atom: -6.068

abc: 7.6584 7.6506 8.8537
angles: 90.00 90.00 109.64
Site moments in Bohr magnetons follow the coordinates.
Fractional positions:
Ce  0.7500  0.5000  0.1238  0.70
Ce  0.7500  0.5000  0.6268  -0.77
Ce  0.7500  0.0000  0.3735  -0.70
Ce  0.2500  0.5000  0.3732  -0.77
Ce  0.2500  0.5000  0.8762  0.70
Ce  0.2500  0.0000  0.6265  -0.70
Sb  0.0069  0.7574  0.3679  0.01
Sb  0.4996  0.2356  0.8828  0.00
Sb  0.4931  0.2426  0.3679  0.01
Sb  0.5069  0.7574  0.6321  0.01
Sb  0.5004  0.7644  0.1172  0.00
Sb  0.0004  0.7644  0.8828  0.00
Sb  0.9996  0.2356  0.1172  0.00
Sb  0.9931  0.2426  0.6321  0.01
Sc  0.2500  0.0000  0.1247  0.00
Sc  0.7500  0.0000  0.8753  0.00